Record 1
First-principles (PBE) data for an optimized crystal structure of DyTm3Sc5, as listed in Alexandria via LeMat-Bulk.

Results
**Formation energy from the elements**: 302 meV/atom
**Calculated volume**: 27.0 Å³ per atom

a = 8.2959 Å, b = 8.2959 Å, c = 14.1419 Å
α = 90.00°, β = 90.00°, γ = 90.00°
With the nearest neighbours (Å) after each atom.
Space group I4/mcm (No. 140)
Asymmetric unit:
1 Dy 0.0000 0.5000 0.2500 [4 per cell]  4 Sc 2.90
2 Tm 0.0000 0.0000 0.2500 [4 per cell]  10 Sc 3.40-3.54
3 Tm 0.1187 0.3813 0.0000 [8 per cell]  1 Tm 2.79, 2 Sc 2.81
4 Sc 0.0000 0.0000 0.0000 [4 per cell]  6 Tm 3.31-3.54, 8 Sc 3.54
5 Sc 0.2046 0.2954 0.3657 [16 per cell]  1 Tm 2.81, 1 Dy 2.90

=====

Record 2
First-principles (PBE) data for an optimized crystal structure of Dy2Tm5Sc, as listed in Alexandria via LeMat-Bulk.

Results
**Formation energy from the elements**: 10 meV/atom
**Calculated volume**: 30.0 Å³ per atom
**Relative energy among the computed polymorphs**: 0.000 eV per formula unit

a = 7.0908 Å, b = 11.0188 Å, c = 12.2770 Å
α = 90.00°, β = 90.00°, γ = 90.00°
With the nearest neighbours (Å) after each atom.
Space group Fmm2 (No. 42)
Asymmetric unit:
1 Dy 0.0000 0.2465 0.0000 [8 per cell]  1 Sc 3.40, 9 Tm 3.41-3.56, 2 Dy 3.55
2 Tm 0.0000 0.0000 0.6653 [4 per cell]  8 Tm 3.43-3.56, 2 Dy 3.45, 2 Sc 3.55
3 Tm 0.2481 0.0000 0.4159 [8 per cell]  4 Dy 3.41-3.46, 6 Tm 3.44-3.57, 2 Sc 3.54-3.55
4 Tm 0.2500 0.2500 0.2488 [8 per cell]  2 Sc 3.43, 6 Tm 3.43-3.55, 4 Dy 3.53-3.56
5 Sc 0.0000 0.0000 0.1659 [4 per cell]  2 Dy 3.40, 10 Tm 3.43-3.55

=====

Record 3
First-principles (PBE) data for an optimized crystal structure of DyTm2Sc3, as listed in Alexandria via LeMat-Bulk.

Results
**Formation energy from the elements**: 54 meV/atom
**Calculated volume**: 27.4 Å³ per atom

a = 14.4291 Å, b = 4.7953 Å, c = 10.6539 Å
α = 90.00°, β = 116.88°, γ = 90.00°
With the nearest neighbours (Å) after each atom.
Space group C2/m (No. 12)
Asymmetric unit:
1 Dy 0.1279 0.0000 0.1334 [4 per cell]  4 Sc 3.38-3.39, 7 Tm 3.40-3.49, 1 Dy 3.50
2 Tm 0.0389 0.5000 0.8661 [4 per cell]  4 Sc 3.38-3.39, 4 Tm 3.39-3.51, 4 Dy 3.40-3.49
3 Tm 0.2051 0.0000 0.8663 [4 per cell]  4 Sc 3.38-3.39, 5 Tm 3.39-3.50, 3 Dy 3.40-3.49
4 Sc 0.0446 0.0000 0.3841 [4 per cell]  8 Sc 3.25-3.40, 3 Tm 3.38, 1 Dy 3.39
5 Sc 0.1217 0.5000 0.6155 [4 per cell]  8 Sc 3.25-3.40, 3 Tm 3.38, 1 Dy 3.39
6 Sc 0.2117 0.5000 0.3847 [4 per cell]  8 Sc 3.25-3.40, 2 Dy 3.38, 2 Tm 3.39

=====

What is the formation energy from the elements in the first record? 302 meV/atom